Entry 1:
Nd2SnOs | GGA-PBE | optimized geometry

abc: 4.0007 4.0007 10.1313
angles: 78.61 78.61 60.00
Fractional positions:
1 Nd 0.1125 0.1125 0.6626
2 Nd 0.8875 0.8875 0.3374
3 Os 0.5000 0.5000 0.5000
4 Sn 0.0000 0.0000 0.0000

Properties
Space group: No. 166
Density of states at the Fermi level in states/eV/cell: 3.9
Distance to the lowest polymorph of the same formula in meV per atom: 513
Final energy in eV/atom: -5.964
M_tot in μB per atom: 0.000

***

Entry 2:
NbCoNi2Ir | GGA-PBE | optimized geometry

abc: 4.1957 4.3778 4.1957
angles: 90.00 90.00 90.00
Fractional positions:
1 Ni 0.0000 0.0000 0.5000
2 Ni 0.5000 0.0000 0.0000
3 Nb 0.0000 0.5000 0.0000
4 Ir 0.5000 0.5000 0.5000
5 Co 0.0000 0.0000 0.0000

Properties
Space group: No. 123
Density of states at the Fermi level in states/eV/cell: 5.2
Final energy in eV/atom: -6.595
M_tot in μB per atom: 0.246

***

Entry 3:
CdNiBr2 | GGA-PBE | optimized geometry

abc: 8.2460 8.2460 8.2460
angles: 27.54 27.54 27.54
Fractional positions:
1 Br 0.0465 0.0465 0.0465
2 Br 0.2219 0.2219 0.2219
3 Cd 0.4850 0.4850 0.4850
4 Ni 0.7467 0.7467 0.7467

Properties
Space group: No. 160
Formation energy (no corrections) in eV/atom: -0.21
Density of states at the Fermi level in states/eV/cell: 2.2
Distance to the lowest polymorph of the same formula in meV per atom: 28
Final energy in eV/atom: -2.723
M_tot in μB per atom: 0.000